DFT (GGA+U) results for a geometry-optimized Li3Er2MnO6 structure.

Unit cell a=5.6069 b=5.6069 c=5.2430 alpha=98.31 beta=98.31 gamma=121.54
Sites, in units of the cell vectors:
Li  0.0000  0.0000  0.0000
Li  0.3736  0.6264  0.0000
Li  0.6264  0.3736  0.0000
Er  0.1666  0.8334  0.5000
Er  0.8334  0.1666  0.5000
Mn  0.5000  0.5000  0.5000
O  0.1369  0.4385  0.2742
O  0.2488  0.2488  0.7379
O  0.4385  0.1369  0.2742
O  0.5615  0.8631  0.7258
O  0.7512  0.7512  0.2621
O  0.8631  0.5615  0.7258

Output
As for the space-group type: No. 12. As for the density of states at the Fermi level: 0.00 states/eV/atom. The uncorrected energy is -6.753 eV/atom.